Here is ErPaMnO6 after structural relaxation from Alexandria via LeMat-Bulk. Energies are from GGA+U.

a = 4.7919 Å, b = 5.3145 Å, c = 5.3145 Å
α = 120.00°, β = 90.00°, γ = 90.00°
Last column: nearest neighbours and their distance in Å.
Fractional positions:
Mn: 0.5000 0.0000 0.0000  6 O 1.96
Pa: 0.0000 0.3333 0.6667  6 O 2.20
O: 0.2668 0.2953 0.3114  1 Mn 1.96
O: 0.7332 0.0160 0.3114  1 Mn 1.96
O: 0.7332 0.2953 0.9840  1 Mn 1.96
O: 0.7332 0.6886 0.7047  1 Mn 1.96
O: 0.2668 0.6886 0.9840  1 Mn 1.96
O: 0.2668 0.0160 0.7047  1 Mn 1.96
Er: 0.5000 0.6667 0.3333  6 O 2.22

Final energy, eV per atom: -8.48
V, Å³ per cell: 117.2
Space group: P312, No. 149